1.
First-principles (GGA-PBE) data for an optimized crystal structure of SmErCo, as listed in Alexandria.

Unit cell a=6.6646 b=6.6646 c=6.6646 alpha=90.00 beta=90.00 gamma=90.00
Space group F-43m (No. 216)
Symmetry-distinct sites (fractional):
Sm (0.0000, 0.0000, 0.0000) [4 per cell]
Er (0.0000, 0.0000, 0.5000) [4 per cell]
Co (0.2500, 0.2500, 0.7500) [4 per cell]

The value obtained for the density is 8.449 g cm⁻³. For the energy relative to the elements, the calculation gives -0.0283 eV/atom. The total energy is -5.491 eV per atom. The spin magnetization comes out at 0.00 μB/f.u.



2.
First-principles (GGA-PBE) data for an optimized crystal structure of Ac3Si4, as listed in Alexandria.

Unit cell a=4.0997 b=4.7717 c=18.7631 alpha=90.00 beta=90.00 gamma=90.00
Space group Immm (No. 71)
Symmetry-distinct sites (fractional):
Ac (0.0000, 0.0000, 0.0000) [2 per cell]
Ac (0.0000, 0.5000, 0.3185) [4 per cell]
Si (0.0000, 0.0000, 0.4357) [4 per cell]
Si (0.0000, 0.5000, 0.1380) [4 per cell]

The value obtained for the density is 7.178 g cm⁻³. Its uncorrected formation energy is -0.58 eV/atom. The total energy is -5.440 eV per atom. The spin magnetization comes out at 0.29 μB/f.u.



3.
First-principles (GGA-PBE) data for an optimized crystal structure of YAlHgAu, as listed in Alexandria.

Unit cell a=6.9651 b=6.9651 c=6.9651 alpha=90.00 beta=90.00 gamma=90.00
Space group F-43m (No. 216)
Symmetry-distinct sites (fractional):
Y (0.0000, 0.0000, 0.0000) [4 per cell]
Al (0.0000, 0.0000, 0.5000) [4 per cell]
Hg (0.2500, 0.2500, 0.2500) [4 per cell]
Au (0.2500, 0.2500, 0.7500) [4 per cell]

The value obtained for the density is 10.093 g cm⁻³. For the energy relative to the elements, the calculation gives -0.5006 eV/atom. The total energy is -3.947 eV per atom. The spin magnetization comes out at 0.00 μB/f.u.